The following is a DFT calculation (GGA-PBE) of an optimized crystal structure of LaPm3PrTh.

```
12
Lattice="-4.587 -0.548 2.314 3.063 -6.022 4.645 0.834 10.186 4.067" Properties=species:S:1:pos:R:3 pbc="T T T"
Th -1.542 6.262 7.080
Th 0.851 -2.647 3.945
Pm -0.766 -5.182 5.908
Pm -2.099 -0.648 4.339
Pm 1.408 4.264 6.687
Pm 1.141 0.724 5.319
Pm -1.832 2.891 5.707
Pm 0.075 8.798 5.118
Pr -0.219 5.499 3.753
Pr -0.471 -1.884 7.273
La -0.152 1.522 8.713
La -0.539 2.094 2.313
```

Values from the calculation:
DOS at the Fermi energy   1.512 states/eV per atom
Space group   P2_1/m (11)
Energy   -62.3 eV/cell
Total magnetic moment   0.000 μB/atom


The following is a DFT calculation (GGA-PBE) of an optimized crystal structure of LaPm5Pr2Th.

```
18
Lattice="-3.891 4.210 -0.838 -5.105 -7.646 5.323 2.893 4.517 9.263" Properties=species:S:1:pos:R:3 pbc="T T T"
Pr -6.695 -1.112 5.474
Pr -0.699 0.170 4.104
Pr 0.474 2.010 7.898
Pr -4.994 1.551 10.957
Pm -7.244 -0.881 9.187
Pm -0.160 -0.070 0.394
Pm -1.537 2.962 1.989
Pm -2.982 -1.630 5.661
Pm -2.032 3.213 5.552
Pm -5.377 -4.171 4.013
Pm -4.248 0.755 3.492
Pm -2.727 3.327 9.350
Pm -4.631 -1.982 11.552
Pm -2.117 -0.082 9.419
Th -2.790 -2.162 2.093
Th -4.682 1.107 7.274
La -4.532 -2.554 8.214
La -0.421 5.433 9.220
```

Values from the calculation:
DOS at the Fermi energy   1.412 states/eV per atom
Space group   Cmc2_1 (36)
Energy   -88.6 eV/cell
Total magnetic moment   0.000 μB/atom


Number 1: ΔH_f (0 K) 0.034 eV per atom. Number 2: ΔH_f (0 K) 0.151 eV per atom.